# V2BiO6F2 GGA+U optimized geometry
# - total moment (μB/f.u.) = 0.000
# - energy (eV/atom) = -6.5046
data_V2BiO6F2
_space_group_name_H-M_alt 'P -3'
_space_group_IT_number 147
_space_group_name_Hall '-P 3'
_cell_length_a 5.6019
_cell_length_b 5.6019
_cell_length_c 7.3820
_cell_angle_alpha 90.00
_cell_angle_beta 90.00
_cell_angle_gamma 120.00
loop_
_atom_site_label
_atom_site_type_symbol
_atom_site_fract_x
_atom_site_fract_y
_atom_site_fract_z
V1 V 0.3333 0.6667 0.2452
Bi1 Bi 0.0000 0.0000 0.5000
O1 O 0.0710 0.7124 0.3255
F1 F 0.3333 0.6667 0.0046